No. 1
SmUTe2 | PBE-GGA | relaxed

abc: 3.781 3.781 7.665
angles: 90.00 90.00 90.00
Fractional coordinates of all 4 atoms:
Sm  0.000  0.000  0.000
U  0.000  0.000  0.500
Te  0.500  0.500  0.254
Te  0.500  0.500  0.746

## Properties
The value obtained for the uncorrected formation energy is -0.827 eV per atom.

---

No. 2
CaTlSCl2 | PBE-GGA | relaxed

abc: 5.469 5.469 5.166
angles: 90.00 90.00 90.00
Fractional coordinates of all 5 atoms:
Ca  0.000  0.000  0.000
Tl  0.500  0.500  0.500
S  0.500  0.500  0.000
Cl  0.000  0.500  0.500
Cl  0.500  0.000  0.500

## Properties
The value obtained for the uncorrected formation energy is -0.800 eV per atom.

---

No. 3
Tl2H3Pd8 | PBE-GGA | relaxed

abc: 6.889 6.889 5.897
angles: 109.73 109.73 46.71
Fractional coordinates of all 13 atoms:
Tl  0.249  0.249  0.196
Tl  0.751  0.751  0.804
H  0.207  0.793  0.500
H  0.500  0.500  0.000
H  0.793  0.207  0.500
Pd  0.120  0.120  0.498
Pd  0.187  0.687  0.154
Pd  0.313  0.813  0.846
Pd  0.351  0.351  0.701
Pd  0.649  0.649  0.299
Pd  0.687  0.187  0.154
Pd  0.813  0.313  0.846
Pd  0.880  0.880  0.502

## Properties
The final energy is -4.37 eV/atom.

---

No. 4
HfNbFeCuW | PBE-GGA | relaxed

abc: 5.109 5.109 5.204
angles: 118.86 118.86 46.06
Fractional coordinates of all 5 atoms:
Hf  0.000  0.000  0.000
Nb  0.394  0.394  0.378
Fe  0.217  0.217  0.721
Cu  0.696  0.696  0.968
W  0.698  0.698  0.457

## Properties
The calculated formation energy comes out at 0.2161 eV/atom.

---

No. 5
NdCd6Hg12 | PBE-GGA | relaxed

abc: 8.460 8.460 8.460
angles: 107.05 107.05 107.05
Fractional coordinates of all 19 atoms:
Nd  0.000  0.000  0.000
Cd  0.171  0.441  0.271
Cd  0.271  0.171  0.441
Cd  0.441  0.271  0.171
Cd  0.559  0.729  0.829
Cd  0.729  0.829  0.559
Cd  0.829  0.559  0.729
Hg  0.001  0.305  0.850
Hg  0.150  0.999  0.695
Hg  0.156  0.481  0.636
Hg  0.305  0.850  0.001
Hg  0.364  0.844  0.519
Hg  0.481  0.636  0.156
Hg  0.519  0.364  0.844
Hg  0.636  0.156  0.481
Hg  0.695  0.150  0.999
Hg  0.844  0.519  0.364
Hg  0.850  0.001  0.305
Hg  0.999  0.695  0.150

## Properties
The calculated formation energy comes out at -0.0506 eV/atom.

---

No. 6
BiAsOsPb2 | PBE-GGA | relaxed

abc: 5.391 5.391 5.548
angles: 90.00 90.00 90.00
Fractional coordinates of all 5 atoms:
Bi  0.000  0.000  0.000
As  0.000  0.000  0.500
Os  0.500  0.500  0.000
Pb  0.000  0.500  0.500
Pb  0.500  0.000  0.500

## Properties
The calculated formation energy comes out at 1.5355 eV/atom.

---

No. 7
LaThAl | PBE-GGA | relaxed

abc: 5.952 5.952 5.952
angles: 140.25 140.25 57.47
Fractional coordinates of all 3 atoms:
La  0.000  0.000  0.000
Th  0.694  0.694  0.000
Al  0.342  0.342  0.000

## Properties
The calculated formation energy comes out at -0.1320 eV/atom.

---

No. 8
Na8In3Hg | PBE-GGA | relaxed

abc: 9.263 9.231 7.489
angles: 66.34 65.89 47.77
Fractional coordinates of all 12 atoms:
Na  0.124  0.624  0.876
Na  0.125  0.626  0.374
Na  0.374  0.875  0.125
Na  0.376  0.876  0.624
Na  0.624  0.124  0.376
Na  0.626  0.125  0.875
Na  0.875  0.374  0.626
Na  0.876  0.376  0.124
In  0.000  0.000  0.000
In  0.250  0.250  0.250
In  0.750  0.750  0.750
Hg  0.500  0.500  0.500

## Properties
The calculated formation energy comes out at 0.0419 eV/atom.

---

No. 9
Ca2Ga6Ag3 | PBE-GGA | relaxed

abc: 7.491 7.491 4.340
angles: 90.00 90.00 90.34
Fractional coordinates of all 11 atoms:
Ca  0.220  0.220  0.000
Ca  0.780  0.780  0.000
Ga  0.112  0.888  0.500
Ga  0.157  0.546  0.500
Ga  0.454  0.843  0.500
Ga  0.546  0.157  0.500
Ga  0.843  0.454  0.500
Ga  0.888  0.112  0.500
Ag  0.270  0.730  0.000
Ag  0.500  0.500  0.500
Ag  0.730  0.270  0.000

## Properties
The calculated formation energy comes out at -0.1899 eV/atom.

---

No. 10
AcAuO4 | PBE-GGA | relaxed

abc: 6.677 6.677 5.890
angles: 105.50 105.50 42.66
Fractional coordinates of all 12 atoms:
Ac  0.217  0.783  0.750
Ac  0.783  0.217  0.250
Au  0.000  0.500  0.000
Au  0.500  0.000  0.500
O  0.130  0.235  0.674
O  0.235  0.130  0.174
O  0.265  0.562  0.070
O  0.438  0.735  0.430
O  0.562  0.265  0.570
O  0.735  0.438  0.930
O  0.765  0.870  0.826
O  0.870  0.765  0.326

## Properties
The value obtained for the uncorrected formation energy is -1.267 eV per atom.